Record 1
The following is a DFT calculation (GGA-PBE) of NdTl2AgSb2 after structural relaxation.

Lattice parameters (Å, degrees): 4.760 10.220 7.569 90.00 90.00 90.00
Positions (direct):
1 Nd 0.000 0.036 0.000
2 Nd 0.000 0.964 0.500
3 Tl 0.000 0.363 0.346
4 Tl 0.000 0.637 0.846
5 Tl 0.500 0.380 0.005
6 Tl 0.500 0.620 0.505
7 Ag 0.500 0.150 0.667
8 Ag 0.500 0.850 0.167
9 Sb 0.000 0.284 0.750
10 Sb 0.000 0.716 0.250
11 Sb 0.500 0.119 0.276
12 Sb 0.500 0.881 0.776

## Properties
For the raw formation energy, the calculation gives -385.3 meV per atom.

Record 2
The following is a DFT calculation (GGA-PBE) of NdScAg4 after structural relaxation.

Lattice parameters (Å, degrees): 5.676 5.676 5.676 60.00 60.00 60.00
Positions (direct):
1 Nd 0.000 0.000 0.000
2 Sc 0.250 0.250 0.250
3 Ag 0.127 0.624 0.624
4 Ag 0.624 0.127 0.624
5 Ag 0.624 0.624 0.127
6 Ag 0.624 0.624 0.624

## Properties
As for the energy of formation: -0.7 eV/f.u. The energy above the most stable polymorph in this dataset comes out at 130.1 meV/atom.